# 1
Here is ZrAg2Se2S after structural relaxation from the Open Quantum Materials Database. Energies are from GGA-PBE.

The structure in POSCAR format:
```
ZrAg2Se2S
1.0
9.9430 -1.9792 0.0000
9.9430 1.9792 0.0000
-0.0165 0.0000 7.3071
Zr S Ag Se
2 2 4 4
Cartesian
16.9543 0.0000 3.1621 Zr
2.9152 0.0000 4.1450 Zr
11.9782 0.0000 2.7679 S
7.8913 0.0000 4.5393 S
3.9510 0.0000 7.1882 Ag
9.4116 0.0000 2.3401 Ag
15.9185 0.0000 0.1189 Ag
10.4578 0.0000 4.9670 Ag
18.3561 0.0000 0.9661 Se
5.1660 0.0000 2.2265 Se
14.7034 0.0000 5.0806 Se
1.5134 0.0000 6.3410 Se
```

Output
Density (kg/m3): 5739
E_tot (eV per atom): -4.92
Symmetry: C2/m, No. 12

# 2
Here is TbGd2Zn3AgAu2 after structural relaxation from the Open Quantum Materials Database. Energies are from GGA-PBE.

The structure in POSCAR format:
```
TbGd2Zn3AgAu2
1.0
-0.3838 2.6730 2.7465
-7.3809 -1.6446 0.5693
5.0448 -3.6890 4.2952
Zn Gd Au Ag Tb
3 2 2 1 1
Cartesian
-3.8294 -3.0422 5.1266 Zn
-0.7967 -0.0442 2.6325 Zn
-0.6214 -3.5700 6.0885 Zn
-2.9974 -0.6679 0.2312 Gd
2.0487 -1.4981 1.7443 Gd
-3.4247 -0.9924 3.1882 Au
0.7033 -1.6716 4.4260 Au
-2.3347 -5.3301 4.8613 Ag
-1.3879 -3.1687 2.8901 Tb
```

Output
Density (kg/m3): 10137
Symmetry: Amm2, No. 38
Calculated formation energy (kJ/mol of formula units): -500.6

# 3
Here is RbAl2Au2 after structural relaxation from the Open Quantum Materials Database. Energies are from GGA-PBE.

The structure in POSCAR format:
```
RbAl2Au2
1.0
-2.2598 2.2598 5.8698
2.2598 -2.2598 5.8698
2.2598 2.2598 -5.8698
Al Au Rb
2 2 1
Cartesian
2.2598 0.0000 2.9349 Al
0.0000 2.2598 2.9349 Al
0.0000 0.0000 7.4758 Au
0.0000 0.0000 4.2637 Au
0.0000 0.0000 0.0000 Rb
```

Output
Density (kg/m3): 7387
E_tot (eV per atom): -3.27
Symmetry: I4/mmm, No. 139

# 4
Here is Hf3CoN2 after structural relaxation from the Open Quantum Materials Database. Energies are from GGA-PBE.

The structure in POSCAR format:
```
Hf3CoN2
1.0
-1.6637 -2.6420 -0.5735
2.7886 0.4645 -1.4439
8.5327 -8.3662 13.7880
N Hf Co
4 6 2
Cartesian
1.9143 -1.1689 -0.1684 N
4.9610 -4.1562 4.7549 N
4.6965 -6.3875 7.0158 N
7.7433 -9.3748 11.9390 N
8.5857 -7.7102 10.6120 Hf
1.0719 -2.8335 1.1586 Hf
4.2663 -4.1831 6.8940 Hf
2.8353 -4.5626 4.0081 Hf
0.0000 0.0000 0.0000 Hf
6.8223 -5.9812 7.7625 Hf
2.1332 -2.0916 3.4470 Co
6.3995 -6.2747 10.3410 Co
```

Output
Density (kg/m3): 12982
E_tot (eV per atom): -10.12
Symmetry: P6_3/mmc, No. 194

# 5
Here is GaPdPt after structural relaxation from the Open Quantum Materials Database. Energies are from GGA-PBE.

The structure in POSCAR format:
```
GaPdPt
1.0
-0.1636 -6.2273 2.8951
5.3672 4.1494 1.0789
-3.2341 2.7133 5.6534
Ga Pt Pd
6 6 6
Cartesian
-1.6629 -0.3908 3.6391 Ga
3.7434 -1.4948 2.8589 Ga
-0.0459 -1.7474 0.8124 Ga
1.5061 1.1644 0.3028 Ga
-0.1110 2.5210 3.1295 Ga
2.1264 -0.1382 5.6856 Ga
-2.4256 2.0349 4.2401 Pt
-0.8085 0.6783 1.4134 Pt
-0.1380 -1.2432 5.4678 Pt
3.3226 0.8591 2.0356 Pt
-1.3531 -0.2238 7.5918 Pt
2.1075 1.8785 4.1597 Pt
0.9591 4.2317 5.1220 Pd
-0.5426 -2.9762 3.3194 Pd
2.0656 -2.7806 4.7176 Pd
2.4799 2.3873 6.8772 Pd
1.0914 -0.5135 3.0723 Pd
-0.1449 1.5574 5.7739 Pd
```

Output
Energy above the most stable polymorph in this dataset (eV/atom): 0.144
Density (kg/m3): 12827
Symmetry: P-62c, No. 190

# 6
Here is MgSc2Tc after structural relaxation from the Open Quantum Materials Database. Energies are from GGA-PBE.

The structure in POSCAR format:
```
MgSc2Tc
1.0
-3.3238 -5.2288 1.8137
5.2796 -3.6776 -0.9269
1.9816 1.1175 6.8531
Sc Tc Mg
8 4 4
Cartesian
1.4763 -4.1722 2.1676 Sc
3.1321 -1.5613 1.2389 Sc
4.1291 -0.9989 4.6873 Sc
1.4893 0.8399 5.1508 Sc
-0.1788 -1.7780 6.0358 Sc
2.4611 -3.6168 5.5723 Sc
-1.1635 -2.3334 2.6310 Sc
0.4922 0.2776 1.7023 Sc
4.1228 -3.5016 3.1829 Tc
-0.1853 -4.2873 4.5569 Tc
-1.1697 -4.8360 1.1268 Tc
3.1256 -4.0704 -0.2400 Tc
2.4503 -6.1326 4.0956 Mg
0.4817 -2.2381 0.2257 Mg
1.4742 -6.6683 0.6611 Mg
1.4871 -1.6563 3.6442 Mg
```

Output
Density (kg/m3): 4651
E_tot (eV per atom): -6.18
Symmetry: Imma, No. 74

# 7
Here is GdDy2Ga3AgPt2 after structural relaxation from the Open Quantum Materials Database. Energies are from GGA-PBE.

The structure in POSCAR format:
```
GdDy2Ga3AgPt2
1.0
-2.1555 -0.0308 3.0696
2.4400 -6.9228 1.6439
3.6661 6.0165 2.6348
Ga Gd Pt Dy Ag
3 1 2 2 1
Cartesian
0.7063 -5.0626 2.7369 Ga
0.5680 -0.2597 2.6880 Ga
1.6001 4.3696 3.4592 Ga
3.6120 -0.5361 2.5310 Gd
1.7664 -2.6408 3.5056 Pt
2.1781 1.7045 3.8384 Pt
3.9367 -4.4649 2.7196 Dy
4.6620 3.1886 3.3058 Dy
0.0062 -0.0009 0.0044 Ag
```

Output
Density (kg/m3): 10757
E_tot (eV per atom): -5.10
Symmetry: Amm2, No. 38

# 8
Here is PrTlCdSe3 after structural relaxation from the Open Quantum Materials Database. Energies are from GGA-PBE.

The structure in POSCAR format:
```
PrTlCdSe3
1.0
-7.2917 -1.0610 3.8860
0.8982 -4.4457 0.4715
7.7676 3.2079 15.4512
Tl Se Pr Cd
4 12 4 4
Cartesian
-1.4517 -0.7301 6.9070 Tl
1.4026 -0.5264 3.3896 Tl
2.8258 -1.5687 12.9016 Tl
-0.0285 -1.7723 16.4190 Tl
-0.4674 -2.5817 9.6232 Se
-2.0694 -2.5260 13.2007 Se
0.1937 -3.2838 1.7432 Se
4.6264 1.1717 13.2605 Se
1.0244 -2.6794 5.8598 Se
-3.2523 -3.4705 6.5481 Se
0.3497 0.3807 13.9488 Se
1.1804 0.9851 18.0654 Se
1.8416 0.2830 10.1854 Se
-2.8254 -1.3866 3.3332 Se
4.1995 -0.9122 16.4754 Se
3.4435 0.2272 6.6079 Se
5.9749 1.7196 15.8583 Pr
-4.6008 -4.0184 3.9503 Pr
-0.9316 -0.1575 11.3152 Pr
2.3057 -2.1413 8.4934 Pr
4.6289 0.8912 10.6104 Cd
-3.2548 -3.1899 9.1982 Cd
-1.0786 -3.2664 4.3318 Cd
2.4527 0.9676 15.4768 Cd
```

Output
Energy above the most stable polymorph in this dataset (eV/atom): 0.046
Density (kg/m3): 6905
Symmetry: Pnma, No. 62

# 9
Here is Y3Cd3GaAg2 after structural relaxation from the Open Quantum Materials Database. Energies are from GGA-PBE.

The structure in POSCAR format:
```
Y3Cd3GaAg2
1.0
7.8500 0.0000 0.0000
-3.9250 6.7983 0.0000
0.0000 0.0000 3.9043
Y Cd Ag Ga
3 3 2 1
Cartesian
1.5727 2.7240 1.9522 Y
4.7046 0.0000 1.9522 Y
-2.3523 4.0743 1.9522 Y
-1.0236 1.7729 0.0000 Cd
2.0472 0.0000 0.0000 Cd
2.9014 5.0254 0.0000 Cd
3.9250 2.2661 0.0000 Ag
0.0000 4.5322 0.0000 Ag
0.0000 0.0000 1.9522 Ga
```

Output
Density (kg/m3): 7088
E_tot (eV per atom): -3.81
Symmetry: P-62m, No. 189

# 10
Here is NdPAuO after structural relaxation from the Open Quantum Materials Database. Energies are from GGA-PBE.

The structure in POSCAR format:
```
NdPAuO
1.0
4.8990 0.0000 0.0000
0.0000 6.3619 0.0000
0.0000 0.0000 4.6524
Au O P Nd
2 2 2 2
Cartesian
0.0000 5.5268 2.3387 Au
0.0000 0.8351 0.0126 Au
2.4495 5.5122 2.3288 O
2.4495 0.8497 0.0026 O
0.0000 3.1810 1.1636 P
0.0000 3.1810 3.4897 P
2.4495 1.4388 2.3292 Nd
2.4495 4.9231 0.0030 Nd
```

Output
Energy above the most stable polymorph in this dataset (eV/atom): 0.292
Density (kg/m3): 8891
Symmetry: Pmc2_1, No. 26

# 11
Here is KRbBiAu after structural relaxation from the Open Quantum Materials Database. Energies are from GGA-PBE.

The structure in POSCAR format:
```
KRbBiAu
1.0
6.7319 0.0000 0.0000
0.0000 6.9905 0.0000
-2.1609 0.0000 6.6010
K Bi Au Rb
2 2 2 2
Cartesian
-0.0230 1.7476 3.2179 K
4.5940 5.2429 3.3831 K
3.4132 1.7476 4.7786 Bi
1.1578 5.2429 1.8224 Bi
0.0000 0.0000 0.0000 Au
0.0000 3.4953 0.0000 Au
3.0271 1.7476 0.9993 Rb
1.5439 5.2429 5.6017 Rb
```

Output
Energy above the most stable polymorph in this dataset (eV/atom): 0.000
Density (kg/m3): 5672
Symmetry: P2_1/m, No. 11